Entry 1:
Density functional theory data (PBE) for a geometry-optimized Nd3Y3Tl2 structure.

Space-group type: Pmmm, No. 47
Energy above the most stable polymorph in this dataset in meV per atom: 0

a b c (Å): 5.0150 4.9133 9.7487
angles (deg): 90.00 90.00 90.00
Last column: nearest neighbours and their distance in Å.
Atoms (fractional coordinates):
Nd 0.5000 0.5000 0.7527  2 Nd 3.44, 6 Y 3.48-3.51, 4 Tl 3.51
Nd 0.5000 0.5000 0.2473  2 Nd 3.44, 6 Y 3.48-3.51, 4 Tl 3.51
Nd 0.5000 0.0000 0.0000  4 Nd 3.44, 4 Y 3.51, 4 Tl 3.53
Tl 0.0000 0.0000 0.2552  6 Y 3.43-3.50, 6 Nd 3.51-3.53
Tl 0.0000 0.0000 0.7448  6 Y 3.43-3.50, 6 Nd 3.51-3.53
Y 0.0000 0.5000 0.5000  4 Tl 3.43, 4 Y 3.51, 4 Nd 3.51
Y 0.5000 0.0000 0.5000  4 Tl 3.46, 4 Nd 3.48, 4 Y 3.51
Y 0.0000 0.5000 0.0000  8 Nd 3.48-3.51, 4 Tl 3.50

***

Entry 2:
Density functional theory data (PBE) for a geometry-optimized SrFe3 structure.

Space-group type: Pm-3m, No. 221
Electronic total energy in eV per atom: -5.85

a b c (Å): 4.0940 4.0940 4.0940
angles (deg): 90.00 90.00 90.00
Last column: nearest neighbours and their distance in Å.
Atoms (fractional coordinates):
Fe 0.5000 0.5000 0.0000  8 Fe 2.89, 4 Sr 2.89
Fe 0.0000 0.5000 0.5000  8 Fe 2.89, 4 Sr 2.89
Fe 0.5000 0.0000 0.5000  8 Fe 2.89, 4 Sr 2.89
Sr 0.0000 0.0000 0.0000  12 Fe 2.89

***

Entry 3:
Density functional theory data (PBE) for a geometry-optimized Mg2ScHg3 structure.

Space-group type: P4/mmm, No. 123
Energy above the most stable polymorph in this dataset in meV per atom: 16

a b c (Å): 3.4270 3.4270 10.9218
angles (deg): 90.00 90.00 90.00
Last column: nearest neighbours and their distance in Å.
Atoms (fractional coordinates):
Hg 0.0000 0.0000 0.3317  4 Mg 3.03, 4 Sc 3.04
Hg 0.0000 0.0000 0.0000  8 Mg 3.02
Hg 0.0000 0.0000 0.6683  4 Mg 3.03, 4 Sc 3.04
Sc 0.5000 0.5000 0.5000  8 Hg 3.04
Mg 0.5000 0.5000 0.8353  8 Hg 3.02-3.03
Mg 0.5000 0.5000 0.1647  8 Hg 3.02-3.03

***

Entry 4:
Density functional theory data (PBE) for a geometry-optimized TlPbS2Cl structure.

Space-group type: P4/mmm, No. 123
Formation energy from raw total energies in meV per atom: -11
Energy above the most stable polymorph in this dataset in meV per atom: 160

a b c (Å): 5.3906 5.3906 5.2507
angles (deg): 90.00 90.00 90.00
Last column: nearest neighbours and their distance in Å.
Atoms (fractional coordinates):
S 0.5000 0.0000 0.0000  2 Tl 2.70
S 0.0000 0.5000 0.0000  2 Tl 2.70
Cl 0.0000 0.0000 0.5000  2 Tl 2.63
Tl 0.0000 0.0000 0.0000  2 Cl 2.63, 4 S 2.70
Pb 0.5000 0.5000 0.5000  8 S 3.76, 4 Cl 3.81

***

Entry 5:
Density functional theory data (PBE) for a geometry-optimized AcPrAs2Rh5 structure.

Space-group type: P4/mmm, No. 123
Electronic total energy in eV per atom: -6.68

a b c (Å): 4.1517 4.1517 11.4442
angles (deg): 90.00 90.00 90.00
Last column: nearest neighbours and their distance in Å.
Atoms (fractional coordinates):
Pr 0.0000 0.0000 0.0000  8 Rh 3.00
Rh 0.5000 0.5000 0.5000  2 As 2.40
Rh 0.5000 0.0000 0.8111  2 As 2.38
Rh 0.0000 0.5000 0.8111  2 As 2.38
Rh 0.0000 0.5000 0.1889  2 As 2.38
Rh 0.5000 0.0000 0.1889  2 As 2.38
Ac 0.0000 0.0000 0.5000  4 Rh 2.94
As 0.5000 0.5000 0.2906  5 Rh 2.38-2.40
As 0.5000 0.5000 0.7094  5 Rh 2.38-2.40

***

Entry 6:
Density functional theory data (PBE) for a geometry-optimized Tb3Ho2Bi2 structure.

Space-group type: C2/m, No. 12
Electronic total energy in eV per atom: -4.85

a b c (Å): 4.3167 6.4731 8.5821
angles (deg): 106.55 90.00 109.48
Last column: nearest neighbours and their distance in Å.
Atoms (fractional coordinates):
Bi 0.8219 0.6438 0.8137  5 Tb 3.14-3.34, 3 Ho 3.19-3.44
Bi 0.1781 0.3562 0.1863  5 Tb 3.14-3.34, 3 Ho 3.19-3.44
Tb 0.6258 0.2517 0.4447  3 Bi 3.29-3.34, 4 Tb 3.48-3.66, 2 Ho 3.53
Tb 0.5000 0.0000 0.0000  4 Bi 3.14
Tb 0.3742 0.7483 0.5553  3 Bi 3.29-3.34, 4 Tb 3.48-3.66, 2 Ho 3.53
Ho 0.1224 0.2449 0.7684  3 Bi 3.19-3.44, 4 Tb 3.53-3.55
Ho 0.8776 0.7551 0.2316  3 Bi 3.19-3.44, 4 Tb 3.53-3.55

***

Entry 7:
Density functional theory data (PBE) for a geometry-optimized SrGaCu2Ni2 structure.

Space-group type: P4/mmm, No. 123
Electronic total energy in eV per atom: -3.95

a b c (Å): 4.4395 4.4395 5.9158
angles (deg): 90.00 90.00 90.00
Last column: nearest neighbours and their distance in Å.
Atoms (fractional coordinates):
Cu 0.5000 0.5000 0.7910  1 Cu 2.47, 4 Ni 2.54
Cu 0.5000 0.5000 0.2090  1 Cu 2.47, 4 Ni 2.54
Sr 0.0000 0.0000 0.5000  2 Ga 2.96
Ni 0.5000 0.0000 0.0000  2 Ga 2.22
Ni 0.0000 0.5000 0.0000  2 Ga 2.22
Ga 0.0000 0.0000 0.0000  4 Ni 2.22

***

Entry 8:
Density functional theory data (PBE) for a geometry-optimized PmGaPIr2 structure.

Space-group type: Cmcm, No. 63
Electronic total energy in eV per atom: -6.90

a b c (Å): 4.2080 6.4090 7.4004
angles (deg): 90.00 90.00 109.17
Last column: nearest neighbours and their distance in Å.
Atoms (fractional coordinates):
Pm 0.4250 0.8501 0.7500  4 P 2.95, 2 Ga 3.26
Pm 0.5750 0.1499 0.2500  4 P 2.95, 2 Ga 3.26
Ga 0.2809 0.5618 0.2500  6 Ir 2.58-2.61
Ga 0.7191 0.4382 0.7500  6 Ir 2.58-2.61
Ir 0.1761 0.3523 0.5542  1 P 2.17
Ir 0.8239 0.6477 0.0542  1 P 2.17
Ir 0.1761 0.3523 0.9458  1 P 2.17
Ir 0.8239 0.6477 0.4458  1 P 2.17
P 0.0000 0.0000 0.0000  2 Ir 2.17
P 0.0000 0.0000 0.5000  2 Ir 2.17

***

Entry 9:
Density functional theory data (PBE) for a geometry-optimized FeSb2TeSe structure.

Space-group type: P4/mmm, No. 123
Formation energy from raw total energies in meV per atom: 369
Energy above the most stable polymorph in this dataset in meV per atom: 0

a b c (Å): 5.0074 5.0074 4.9579
angles (deg): 90.00 90.00 90.00
Last column: nearest neighbours and their distance in Å.
Atoms (fractional coordinates):
Se 0.5000 0.5000 0.5000  8 Sb 3.52, 4 Te 3.54
Sb 0.0000 0.5000 0.0000  2 Fe 2.50
Sb 0.5000 0.0000 0.0000  2 Fe 2.50
Fe 0.0000 0.0000 0.0000  2 Te 2.48, 4 Sb 2.50
Te 0.0000 0.0000 0.5000  2 Fe 2.48

***

Entry 10:
Density functional theory data (PBE) for a geometry-optimized K2SbPt2 structure.

Space-group type: C2/c, No. 15
Formation energy from raw total energies in meV per atom: -387
Energy above the most stable polymorph in this dataset in meV per atom: 0

a b c (Å): 6.6650 5.9590 8.2399
angles (deg): 98.07 90.00 124.00
Last column: nearest neighbours and their distance in Å.
Atoms (fractional coordinates):
K 0.4775 0.7199 0.8589  5 Pt 3.16-3.41, 1 Sb 3.52
K 0.2424 0.7199 0.3589  5 Pt 3.16-3.41, 1 Sb 3.52
K 0.5225 0.2801 0.1411  5 Pt 3.16-3.41, 1 Sb 3.52
K 0.7576 0.2801 0.6411  5 Pt 3.16-3.41, 1 Sb 3.52
Sb 0.0832 0.0000 0.7500  4 Pt 2.67-2.68
Sb 0.9168 0.0000 0.2500  4 Pt 2.67-2.68
Pt 0.9982 0.2692 0.9983  2 Sb 2.67-2.68, 1 Pt 2.73
Pt 0.7290 0.7308 0.5017  2 Sb 2.67-2.68, 1 Pt 2.73
Pt 0.2710 0.2692 0.4983  2 Sb 2.67-2.68, 1 Pt 2.73
Pt 0.0018 0.7308 0.0017  2 Sb 2.67-2.68, 1 Pt 2.73

***

Entry 11:
Density functional theory data (PBE) for a geometry-optimized NaEu3Au structure.

Space-group type: Pm-3m, No. 221
Electronic total energy in eV per atom: -7.34

a b c (Å): 5.9904 5.9904 5.9904
angles (deg): 90.00 90.00 90.00
Last column: nearest neighbours and their distance in Å.
Atoms (fractional coordinates):
Eu 0.0000 0.5000 0.0000  2 Au 3.00
Eu 0.5000 0.0000 0.0000  2 Au 3.00
Eu 0.0000 0.0000 0.5000  2 Au 3.00
Na 0.5000 0.5000 0.5000  12 Eu 4.24
Au 0.0000 0.0000 0.0000  6 Eu 3.00

***

Entry 12:
Density functional theory data (PBE) for a geometry-optimized Na3In2Bi4 structure.

Space-group type: C2/m, No. 12
Energy above the most stable polymorph in this dataset in meV per atom: 0

a b c (Å): 4.7124 7.4663 9.8742
angles (deg): 117.41 90.00 108.40
Last column: nearest neighbours and their distance in Å.
Atoms (fractional coordinates):
In 0.6922 0.3844 0.3387  4 Bi 3.07-3.23, 2 Na 3.42
In 0.3078 0.6156 0.6613  4 Bi 3.07-3.23, 2 Na 3.42
Bi 0.9343 0.8686 0.6284  3 In 3.07-3.23, 1 Na 3.32
Bi 0.3179 0.6358 0.9884  2 Bi 3.12, 1 In 3.16, 3 Na 3.20-3.45
Bi 0.6821 0.3642 0.0116  2 Bi 3.12, 1 In 3.16, 3 Na 3.20-3.45
Bi 0.0657 0.1314 0.3716  3 In 3.07-3.23, 1 Na 3.32
Na 0.6322 0.2645 0.6590  5 Bi 3.20-3.56, 2 In 3.42, 1 Na 3.53
Na 0.3678 0.7355 0.3410  5 Bi 3.20-3.56, 2 In 3.42, 1 Na 3.53
Na 0.0000 0.0000 0.0000  6 Bi 3.32-3.45